Entry w
First-principles (PBE) data for a geometry-optimized Li2UI6 structure, as listed in the Alexandria database.

Lattice parameters (Å, degrees): 7.4737 7.1822 12.9793 90.00 89.99 90.00
Each line ends with the local moment (μB).
Positions (direct):
Li  0.0001  0.4996  0.8404  0.00
Li  0.4999  0.9996  0.6596  0.00
Li  0.5001  0.0004  0.3404  0.00
Li  0.9999  0.5004  0.1596  0.00
U  0.5000  0.5000  0.0000  2.15
U  0.0000  0.0000  0.5000  2.15
I  0.8268  0.7631  0.3353  -0.03
I  0.8268  0.7627  0.6646  -0.03
I  0.8316  0.7405  0.9999  -0.03
I  0.6684  0.2405  0.5001  -0.03
I  0.6732  0.2627  0.8354  -0.03
I  0.6732  0.2631  0.1647  -0.03
I  0.1732  0.2369  0.6647  -0.03
I  0.1732  0.2373  0.3354  -0.03
I  0.1684  0.2595  0.0001  -0.03
I  0.3316  0.7595  0.4999  -0.03
I  0.3268  0.7373  0.1646  -0.03
I  0.3268  0.7369  0.8353  -0.03

SG = No. 58
Total magnetization = 2.00 μB/f.u.

---

Entry x
First-principles (PBE) data for a geometry-optimized Li2UI6 structure, as listed in the Alexandria database.

Lattice parameters (Å, degrees): 7.5809 7.4631 7.4631 120.00 90.00 90.00
Each line ends with the local moment (μB).
Positions (direct):
Li  0.5000  0.3333  0.6667  0.00
Li  0.5000  0.6667  0.3333  0.00
U  0.5000  0.0000  0.0000  2.16
I  0.2716  0.6680  0.0000  -0.03
I  0.2716  0.3320  0.3320  -0.03
I  0.2716  0.0000  0.6680  -0.03
I  0.7284  0.3320  0.0000  -0.03
I  0.7284  0.6680  0.6680  -0.03
I  0.7284  0.0000  0.3320  -0.03

SG = No. 162
Total magnetization = 2.00 μB/f.u.

---

Quick one: most stable of them? entry x

---

Entry w
First-principles (PBE) data for a geometry-optimized Li2VI structure, as listed in the Alexandria database.

Lattice parameters (Å, degrees): 4.9928 4.9928 4.9928 60.00 60.00 60.00
Each line ends with the local moment (μB).
Positions (direct):
I  0.5000  0.5000  0.5000  0.05
V  0.0000  0.0000  0.0000  3.26
Li  0.2500  0.2500  0.2500  0.08
Li  0.7500  0.7500  0.7500  0.08

SG = No. 225
Total magnetization = 5.02 μB/f.u.

---

Entry x
First-principles (PBE) data for a geometry-optimized Li2VI structure, as listed in the Alexandria database.

Lattice parameters (Å, degrees): 7.8979 7.8979 6.3082 51.24 51.24 90.00
Each line ends with the local moment (μB).
Positions (direct):
I  0.0000  0.0000  0.0000  0.01
I  0.7500  0.2500  0.5000  0.01
V  0.5000  0.5000  0.0000  2.92
V  0.2500  0.7500  0.5000  2.92
Li  0.6492  0.1250  0.2500  0.02
Li  0.1008  0.6250  0.2500  0.02
Li  0.3750  0.3508  0.7500  0.02
Li  0.8750  0.8992  0.7500  0.02

SG = No. 122
Total magnetization = 3.82 μB/f.u.

---

Quick one: most stable of them? entry x

---

Entry w
First-principles (PBE) data for a geometry-optimized LiWI2 structure, as listed in the Alexandria database.

Lattice parameters (Å, degrees): 4.9009 4.9009 4.9009 60.00 60.00 60.00
Each line ends with the local moment (μB).
Positions (direct):
I  0.2500  0.2500  0.2500  0.00
I  0.7500  0.7500  0.7500  0.00
W  0.5000  0.5000  0.5000  0.65
Li  0.0000  0.0000  0.0000  0.02

SG = No. 225
Total magnetization = 0.92 μB/f.u.

---

Entry x
First-principles (PBE) data for a geometry-optimized LiWI2 structure, as listed in the Alexandria database.

Lattice parameters (Å, degrees): 6.3723 6.3723 7.4573 64.71 64.71 90.00
Positions (direct):
I  0.6372  0.1250  0.2500
I  0.1128  0.6250  0.2500
I  0.3750  0.3628  0.7500
I  0.8750  0.8872  0.7500
W  0.0000  0.0000  0.0000
W  0.7500  0.2500  0.5000
Li  0.5000  0.5000  0.0000
Li  0.2500  0.7500  0.5000

SG = No. 122
Total magnetization = 0.00 μB/f.u.

---

Quick one: most stable of them? entry x

---

Entry w
First-principles (PBE) data for a geometry-optimized LiY2I structure, as listed in the Alexandria database.

Lattice parameters (Å, degrees): 5.3500 5.3500 5.3500 60.00 60.00 60.00
Positions (direct):
I  0.5000  0.5000  0.5000
Y  0.2500  0.2500  0.2500
Y  0.7500  0.7500  0.7500
Li  0.0000  0.0000  0.0000

SG = No. 225
Total magnetization = 0.00 μB/f.u.

---

Entry x
First-principles (PBE) data for a geometry-optimized LiY2I structure, as listed in the Alexandria database.

Lattice parameters (Å, degrees): 8.4210 8.4210 6.8185 51.87 51.87 90.00
Positions (direct):
I  0.0000  0.0000  0.0000
I  0.7500  0.2500  0.5000
Y  0.6305  0.1250  0.2500
Y  0.1195  0.6250  0.2500
Y  0.3750  0.3695  0.7500
Y  0.8750  0.8805  0.7500
Li  0.5000  0.5000  0.0000
Li  0.2500  0.7500  0.5000

SG = No. 122
Total magnetization = 0.00 μB/f.u.

---

Quick one: most stable of them? entry w

---

Entry w
First-principles (PBE) data for a geometry-optimized Li3YI structure, as listed in the Alexandria database.

Lattice parameters (Å, degrees): 5.2240 5.2240 5.2240 90.00 90.00 90.00
Each line ends with the local moment (μB).
Positions (direct):
I  0.0000  0.0000  0.0000  0.02
Y  0.5000  0.5000  0.5000  0.15
Li  0.0000  0.5000  0.0000  0.01
Li  0.0000  0.0000  0.5000  0.01
Li  0.5000  0.0000  0.0000  0.00

SG = No. 221
Total magnetization = 0.57 μB/f.u.

---

Entry x
First-principles (PBE) data for a geometry-optimized Li3YI structure, as listed in the Alexandria database.

Lattice parameters (Å, degrees): 6.0033 6.0033 6.0033 90.00 90.00 90.00
Each line ends with the local moment (μB).
Positions (direct):
I  0.5000  0.5000  0.5000  0.01
Y  0.0000  0.0000  0.0000  1.01
Li  0.0000  0.5000  0.0000  0.04
Li  0.0000  0.0000  0.5000  0.03
Li  0.5000  0.0000  0.0000  0.06

SG = No. 221
Total magnetization = 2.90 μB/f.u.

---

Quick one: most stable of them? entry w

---

Entry w
First-principles (PBE) data for a geometry-optimized Li3ZnI structure, as listed in the Alexandria database.

Lattice parameters (Å, degrees): 5.0498 5.0498 5.0498 90.00 90.00 90.00
Positions (direct):
I  0.5000  0.5000  0.5000
Zn  0.0000  0.0000  0.0000
Li  0.0000  0.5000  0.0000
Li  0.0000  0.0000  0.5000
Li  0.5000  0.0000  0.0000

SG = No. 221
Total magnetization = 0.00 μB/f.u.

---

Entry x
First-principles (PBE) data for a geometry-optimized Li3ZnI structure, as listed in the Alexandria database.

Lattice parameters (Å, degrees): 5.2411 5.2411 5.2411 90.00 90.00 90.00
Positions (direct):
I  0.0000  0.0000  0.0000
Zn  0.5000  0.5000  0.5000
Li  0.0000  0.5000  0.0000
Li  0.0000  0.0000  0.5000
Li  0.5000  0.0000  0.0000

SG = No. 221
Total magnetization = 0.00 μB/f.u.

---

Quick one: most stable of them? entry x

---

Entry w
First-principles (PBE) data for a geometry-optimized LiZn2I structure, as listed in the Alexandria database.

Lattice parameters (Å, degrees): 5.4468 5.4468 5.4468 60.00 60.00 60.00
Positions (direct):
I  0.5000  0.5000  0.5000
Zn  0.2500  0.2500  0.2500
Zn  0.7500  0.7500  0.7500
Li  0.0000  0.0000  0.0000

SG = No. 225
Total magnetization = 0.00 μB/f.u.

---

Entry x
First-principles (PBE) data for a geometry-optimized LiZn2I structure, as listed in the Alexandria database.

Lattice parameters (Å, degrees): 9.0727 9.0727 6.9225 49.06 49.06 90.00
Positions (direct):
I  0.0000  0.0000  0.0000
I  0.7500  0.2500  0.5000
Zn  0.6280  0.1250  0.2500
Zn  0.1220  0.6250  0.2500
Zn  0.3750  0.3720  0.7500
Zn  0.8750  0.8780  0.7500
Li  0.5000  0.5000  0.0000
Li  0.2500  0.7500  0.5000

SG = No. 122
Total magnetization = 0.00 μB/f.u.

---

Quick one: most stable of them? entry x

---

Entry w
First-principles (PBE) data for a geometry-optimized Li2ZrI6 structure, as listed in the Alexandria database.

Lattice parameters (Å, degrees): 7.3083 7.0539 12.6785 90.00 89.98 90.00
Positions (direct):
Li  0.0001  0.4984  0.8372
Li  0.4999  0.9984  0.6628
Li  0.5001  0.0016  0.3372
Li  0.9999  0.5016  0.1628
Zr  0.5000  0.5000  0.0000
Zr  0.0000  0.0000  0.5000
I  0.8328  0.7670  0.3389
I  0.8330  0.7651  0.6604
I  0.8198  0.7379  0.9995
I  0.6802  0.2379  0.5005
I  0.6670  0.2651  0.8396
I  0.6672  0.2670  0.1611
I  0.1672  0.2330  0.6611
I  0.1670  0.2349  0.3396
I  0.1802  0.2621  0.0005
I  0.3198  0.7621  0.4995
I  0.3330  0.7349  0.1604
I  0.3328  0.7330  0.8389

SG = No. 14
Total magnetization = 0.00 μB/f.u.

---

Entry x
First-principles (PBE) data for a geometry-optimized Li2ZrI6 structure, as listed in the Alexandria database.

Lattice parameters (Å, degrees): 7.9875 7.2457 12.5746 87.26 90.00 90.00
Positions (direct):
Li  0.5798  0.9875  0.1359
Li  0.0798  0.5125  0.3641
Li  0.9202  0.4875  0.6359
Li  0.4202  0.0125  0.8641
Zr  0.5000  0.5000  0.0000
Zr  0.0000  0.0000  0.5000
I  0.1072  0.1597  0.6964
I  0.2709  0.1808  0.3873
I  0.2887  0.1810  0.0458
I  0.7887  0.3190  0.4542
I  0.7709  0.3192  0.1127
I  0.6072  0.3403  0.8036
I  0.8928  0.8403  0.3036
I  0.7291  0.8192  0.6127
I  0.7113  0.8190  0.9542
I  0.2113  0.6810  0.5458
I  0.2291  0.6808  0.8873
I  0.3928  0.6597  0.1964

SG = No. 14
Total magnetization = 0.00 μB/f.u.

---

Quick one: most stable of them? entry w

---

Entry w
First-principles (PBE) data for a geometry-optimized Pm2LuI structure, as listed in the Alexandria database.

Lattice parameters (Å, degrees): 3.6718 3.6718 9.5607 90.00 90.00 90.00
Positions (direct):
I  0.5000  0.5000  0.5000
Lu  0.5000  0.5000  0.0000
Pm  0.0000  0.0000  0.7443
Pm  0.0000  0.0000  0.2557

SG = No. 123
Total magnetization = 0.00 μB/f.u.

---

Entry x
First-principles (PBE) data for a geometry-optimized Pm2LuI structure, as listed in the Alexandria database.

Lattice parameters (Å, degrees): 3.6192 3.6192 11.9711 81.31 81.31 60.00
Positions (direct):
I  0.5000  0.5000  0.5000
Lu  0.0000  0.0000  0.0000
Pm  0.0943  0.0943  0.7170
Pm  0.9057  0.9057  0.2830

SG = No. 166
Total magnetization = 0.00 μB/f.u.

---

Quick one: most stable of them? entry w

---

Entry w
First-principles (PBE) data for a geometry-optimized Sm2LuI structure, as listed in the Alexandria database.

Lattice parameters (Å, degrees): 3.6590 3.6590 9.5342 90.00 90.00 90.00
Positions (direct):
I  0.5000  0.5000  0.5000
Lu  0.5000  0.5000  0.0000
Sm  0.0000  0.0000  0.7449
Sm  0.0000  0.0000  0.2551

SG = No. 123
Total magnetization = 0.00 μB/f.u.

---

Entry x
First-principles (PBE) data for a geometry-optimized Sm2LuI structure, as listed in the Alexandria database.

Lattice parameters (Å, degrees): 3.6090 3.6090 11.9568 81.32 81.32 60.00
Positions (direct):
I  0.5000  0.5000  0.5000
Lu  0.0000  0.0000  0.0000
Sm  0.0945  0.0945  0.7165
Sm  0.9055  0.9055  0.2835

SG = No. 166
Total magnetization = 0.00 μB/f.u.

---

Quick one: most stable of them? entry w

---

Entry w
First-principles (PBE) data for a geometry-optimized Tb2LuI structure, as listed in the Alexandria database.

Lattice parameters (Å, degrees): 3.5753 3.5753 11.8992 81.36 81.36 60.00
Positions (direct):
I  0.5000  0.5000  0.5000
Lu  0.0000  0.0000  0.0000
Tb  0.0950  0.0950  0.7149
Tb  0.9050  0.9050  0.2851

SG = No. 166
Total magnetization = 0.00 μB/f.u.

---

Entry x
First-principles (PBE) data for a geometry-optimized Tb2LuI structure, as listed in the Alexandria database.

Lattice parameters (Å, degrees): 3.6181 3.6181 9.4199 90.00 90.00 90.00
Positions (direct):
I  0.5000  0.5000  0.0000
Lu  0.5000  0.5000  0.5000
Tb  0.0000  0.0000  0.7535
Tb  0.0000  0.0000  0.2465

SG = No. 123
Total magnetization = 0.00 μB/f.u.

---

Quick one: most stable of them? entry x

---

Entry w
First-principles (PBE) data for a geometry-optimized Mg2Mn2I structure, as listed in the Alexandria database.

Lattice parameters (Å, degrees): 7.3480 7.3480 3.8805 90.00 90.00 90.00
Each line ends with the local moment (μB).
Positions (direct):
I  0.0000  0.0000  0.0000  0.02
I  0.5000  0.5000  0.0000  0.02
Mg  0.1527  0.6527  0.5000  -0.04
Mg  0.6527  0.8473  0.5000  -0.04
Mg  0.8473  0.3473  0.5000  -0.04
Mg  0.3473  0.1527  0.5000  -0.04
Mn  0.3678  0.8678  0.0000  3.54
Mn  0.8678  0.6322  0.0000  3.56
Mn  0.6322  0.1322  0.0000  3.55
Mn  0.1322  0.3678  0.0000  3.56

SG = No. 127
Total magnetization = 7.19 μB/f.u.

---

Entry x
First-principles (PBE) data for a geometry-optimized Mg2Mn2I structure, as listed in the Alexandria database.

Lattice parameters (Å, degrees): 4.0233 4.0233 7.5152 74.47 74.47 90.00
Each line ends with the local moment (μB).
Positions (direct):
I  0.0000  0.0000  0.0000  0.03
Mg  0.7500  0.2500  0.5000  -0.05
Mg  0.2500  0.7500  0.5000  -0.05
Mn  0.4033  0.4033  0.1935  3.67
Mn  0.5967  0.5967  0.8065  3.67

SG = No. 139
Total magnetization = 7.43 μB/f.u.

---

Quick one: most stable of them? entry w